# 1
# CaGa2Ru2 (PBE-GGA, relaxed)
data_CaGa2Ru2
_chemical_formula_sum 'Ca2 Ga4 Ru4'
_cell_length_a 7.3050
_cell_length_b 7.3050
_cell_length_c 3.0873
_cell_angle_alpha 90.00
_cell_angle_beta 90.00
_cell_angle_gamma 90.00
_space_group_name_H-M_alt 'P 4/m b m'
_space_group_IT_number 127
_space_group_name_Hall '-P 4 2ab'
loop_
_atom_site_label
_atom_site_type_symbol
_atom_site_fract_x
_atom_site_fract_y
_atom_site_fract_z
Ca1 Ca 0.0000 0.0000 0.0000
Ga1 Ga 0.1326 0.3674 0.0000
Ru1 Ru 0.1575 0.6575 0.5000
# - Energy of formation from the pure elements: -266 meV/atom
# - Fermi-level density of states: 8.9 states/eV/cell

# 2
# Tb4SmAl2 (PBE-GGA, relaxed)
data_Tb4SmAl2
_chemical_formula_sum 'Tb12 Sm3 Al6'
_cell_length_a 5.0514
_cell_length_b 5.0514
_cell_length_c 30.3785
_cell_angle_alpha 90.00
_cell_angle_beta 90.00
_cell_angle_gamma 120.00
_space_group_name_H-M_alt 'R -3 m'
_space_group_IT_number 166
_space_group_name_Hall '-R 3 2"'
loop_
_atom_site_label
_atom_site_type_symbol
_atom_site_fract_x
_atom_site_fract_y
_atom_site_fract_z
Tb1 Tb 0.0000 0.0000 0.1017
Tb2 Tb 0.0000 0.0000 0.2976
Sm1 Sm 0.0000 0.0000 0.5000
Al1 Al 0.0000 0.0000 0.3998
# - Energy of formation from the pure elements: 99 meV/atom
# - Fermi-level density of states: 30.4 states/eV/cell
# - Relative energy among the computed polymorphs: 0.300 eV/atom

# 3
# MgSb2P (PBE-GGA, relaxed)
data_MgSb2P
_chemical_formula_sum 'Mg2 Sb4 P2'
_cell_length_a 5.8835
_cell_length_b 8.9581
_cell_length_c 3.7417
_cell_angle_alpha 90.00
_cell_angle_beta 90.00
_cell_angle_gamma 90.00
_space_group_name_H-M_alt 'C m m m'
_space_group_IT_number 65
_space_group_name_Hall '-C 2 2'
loop_
_atom_site_label
_atom_site_type_symbol
_atom_site_fract_x
_atom_site_fract_y
_atom_site_fract_z
Mg1 Mg 0.0000 0.0000 0.0000
Sb1 Sb 0.0000 0.2756 0.5000
P1 P 0.0000 0.5000 0.0000
# - Fermi-level density of states: 3.1 states/eV/cell
# - Relative energy among the computed polymorphs: 0.079 eV/atom

# 4
# ReH3 (PBE-GGA, relaxed)
data_ReH3
_chemical_formula_sum 'Re2 H6'
_cell_length_a 2.5753
_cell_length_b 8.4943
_cell_length_c 2.9395
_cell_angle_alpha 90.00
_cell_angle_beta 90.00
_cell_angle_gamma 90.00
_space_group_name_H-M_alt 'I m m 2'
_space_group_IT_number 44
loop_
_space_group_symop_operation_xyz
'x,y,z'
'-x,-y,z'
'-x,y,z'
'x,-y,z'
'x+1/2,y+1/2,z+1/2'
'-x+1/2,-y+1/2,z+1/2'
'-x+1/2,y+1/2,z+1/2'
'x+1/2,-y+1/2,z+1/2'
loop_
_atom_site_label
_atom_site_type_symbol
_atom_site_fract_x
_atom_site_fract_y
_atom_site_fract_z
Re1 Re 0.0000 0.0000 0.0000
H1 H 0.0000 0.1692 0.7190
H2 H 0.0000 0.5000 0.0033
# - Fermi-level density of states: 2.5 states/eV/cell
# - Relative energy among the computed polymorphs: 0.017 eV/atom

# 5
# La2MgZn3Cd4 (PBE-GGA, relaxed)
data_La2MgZn3Cd4
_chemical_formula_sum 'La2 Mg1 Zn3 Cd4'
_cell_length_a 4.4447
_cell_length_b 4.4447
_cell_length_c 12.0292
_cell_angle_alpha 90.00
_cell_angle_beta 90.00
_cell_angle_gamma 90.00
_space_group_name_H-M_alt 'P -4 m 2'
_space_group_IT_number 115
loop_
_space_group_symop_operation_xyz
'x,y,z'
'y,-x,-z'
'-x,-y,z'
'-y,x,-z'
'-x,y,z'
'-y,-x,-z'
'x,-y,z'
'y,x,-z'
loop_
_atom_site_label
_atom_site_type_symbol
_atom_site_fract_x
_atom_site_fract_y
_atom_site_fract_z
La1 La 0.0000 0.5000 0.2356
Mg1 Mg 0.0000 0.0000 0.5000
Zn1 Zn 0.0000 0.5000 0.8643
Zn2 Zn 0.5000 0.5000 0.5000
Cd1 Cd 0.0000 0.0000 0.0000
Cd2 Cd 0.0000 0.5000 0.6437
Cd3 Cd 0.5000 0.5000 0.0000
# - Energy of formation from the pure elements: -256 meV/atom
# - Fermi-level density of states: 8.5 states/eV/cell

# 6
# NaPAuCl2 (PBE-GGA, relaxed)
data_NaPAuCl2
_chemical_formula_sum 'Na1 P1 Au1 Cl2'
_cell_length_a 5.4551
_cell_length_b 5.4551
_cell_length_c 4.6559
_cell_angle_alpha 90.00
_cell_angle_beta 90.00
_cell_angle_gamma 90.00
_space_group_name_H-M_alt 'P 4/m m m'
_space_group_IT_number 123
_space_group_name_Hall '-P 4 2'
loop_
_atom_site_label
_atom_site_type_symbol
_atom_site_fract_x
_atom_site_fract_y
_atom_site_fract_z
Na1 Na 0.0000 0.0000 0.0000
P1 P 0.5000 0.5000 0.0000
Au1 Au 0.5000 0.5000 0.5000
Cl1 Cl 0.0000 0.5000 0.5000
# - Fermi-level density of states: 3.4 states/eV/cell
# - Relative energy among the computed polymorphs: 0.000 eV/atom

# 7
# BaTcIr (PBE-GGA, relaxed)
data_BaTcIr
_chemical_formula_sum 'Ba2 Tc2 Ir2'
_cell_length_a 4.2005
_cell_length_b 4.2005
_cell_length_c 10.6687
_cell_angle_alpha 90.00
_cell_angle_beta 90.00
_cell_angle_gamma 120.00
_space_group_name_H-M_alt 'P 63/m m c'
_space_group_IT_number 194
_space_group_name_Hall '-P 6c 2c'
loop_
_atom_site_label
_atom_site_type_symbol
_atom_site_fract_x
_atom_site_fract_y
_atom_site_fract_z
Ba1 Ba 0.0000 0.0000 0.0000
Tc1 Tc 0.3333 0.6667 0.2500
Ir1 Ir 0.3333 0.6667 0.7500
# - Energy of formation from the pure elements: 232 meV/atom
# - Fermi-level density of states: 6.0 states/eV/cell
# - Relative energy among the computed polymorphs: 0.148 eV/atom

# 8
# Mn3CuPd3 (PBE-GGA, relaxed)
data_Mn3CuPd3
_chemical_formula_sum 'Mn12 Cu4 Pd12'
_cell_length_a 8.7282
_cell_length_b 8.8243
_cell_length_c 5.7629
_cell_angle_alpha 90.00
_cell_angle_beta 90.00
_cell_angle_gamma 90.00
_space_group_name_H-M_alt 'C m m m'
_space_group_IT_number 65
_space_group_name_Hall '-C 2 2'
loop_
_atom_site_label
_atom_site_type_symbol
_atom_site_fract_x
_atom_site_fract_y
_atom_site_fract_z
Mn1 Mn 0.0000 0.2403 0.0000
Mn2 Mn 0.1922 0.0000 0.5000
Mn3 Mn 0.2473 0.0000 0.0000
Cu1 Cu 0.0000 0.2335 0.5000
Pd1 Pd 0.0000 0.5000 0.2607
Pd2 Pd 0.2500 0.2500 0.2539
# - Energy of formation from the pure elements: 19 meV/atom
# - Fermi-level density of states: 17.7 states/eV/cell